No. 1
## MnSiSnIrS (GGA-PBE)

Data for crystalline MnSiSnIrS at its relaxed geometry.

Cell lengths 3.0079, 4.1365, 7.2506 Å; angles 76.31, 77.78, 68.65 degrees
Positions (direct):
S 0.6078 0.3474 0.6764
Ir 0.3201 0.5012 0.0873
Si 0.6599 0.9559 0.9557
Sn 0.9520 0.9906 0.3350
Mn 0.3201 0.9276 0.6723

## Properties
For the energy relative to the elements, uncorrected, the calculation gives -151 meV/atom. The spin magnetization is 0.0 Bohr magnetons per cell. The energy above the most stable polymorph in this dataset is 1.04 eV per formula unit. Its space-group type is P1.



No. 2
## Pm3BiTeN (GGA-PBE)

Data for crystalline Pm3BiTeN at its relaxed geometry.

Cell lengths 4.3001, 9.3741, 9.5004 Å; angles 96.52, 90.00, 90.00 degrees
Positions (direct):
Pm 0.7500 0.8922 0.1704
Pm 0.2500 0.1078 0.8296
Pm 0.2500 0.8546 0.4994
Pm 0.7500 0.1454 0.5006
Pm 0.7500 0.3890 0.1409
Pm 0.2500 0.6110 0.8591
Bi 0.2500 0.1577 0.1999
Bi 0.7500 0.8423 0.8001
Te 0.2500 0.6379 0.1883
Te 0.7500 0.3621 0.8117
N 0.2500 0.0880 0.5919
N 0.7500 0.9120 0.4081

## Properties
For the energy relative to the elements, uncorrected, the calculation gives -1182 meV/atom. The spin magnetization is 0.0 Bohr magnetons per cell. Its space-group type is P2_1/m.



No. 3
## Ir2RuPt (GGA-PBE)

Data for crystalline Ir2RuPt at its relaxed geometry.

Cell lengths 2.7441, 3.8683, 5.5187 Å; angles 90.00, 90.00, 90.00 degrees
Positions (direct):
Ru 0.5000 0.5000 0.7500
Ir 0.0000 0.0000 0.9900
Ir 0.0000 0.0000 0.5100
Pt 0.5000 0.5000 0.2500

## Properties
The spin magnetization is 0.0 Bohr magnetons per cell. The energy above the most stable polymorph in this dataset is 0.14 eV per formula unit. Its space-group type is Pmmm. The formation energy comes out at 0.0162 eV per atom.



No. 4
## HfCrAs2S (GGA-PBE)

Data for crystalline HfCrAs2S at its relaxed geometry.

Cell lengths 4.8366, 4.0321, 4.8366 Å; angles 90.00, 90.00, 90.00 degrees
Positions (direct):
Cr 0.0000 0.5000 0.0000
As 0.0000 0.0000 0.5000
As 0.5000 0.0000 0.0000
Hf 0.5000 0.5000 0.5000
S 0.0000 0.0000 0.0000

## Properties
For the energy relative to the elements, uncorrected, the calculation gives 481 meV/atom. The spin magnetization is 0.0 Bohr magnetons per cell. Its space-group type is P4/mmm.



No. 5
## In3HgN (GGA-PBE)

Data for crystalline In3HgN at its relaxed geometry.

Cell lengths 4.8347, 4.8347, 4.8347 Å; angles 90.00, 90.00, 90.00 degrees
Positions (direct):
N 0.0000 0.0000 0.0000
Hg 0.5000 0.5000 0.5000
In 0.0000 0.5000 0.0000
In 0.0000 0.0000 0.5000
In 0.5000 0.0000 0.0000

## Properties
For the energy relative to the elements, uncorrected, the calculation gives 432 meV/atom. The spin magnetization is 0.0 Bohr magnetons per cell. Its space-group type is Pm-3m.



No. 6
## Er2Te3 (GGA-PBE)

Data for crystalline Er2Te3 at its relaxed geometry.

Cell lengths 7.9226, 7.9226, 7.6473 Å; angles 107.57, 107.57, 114.66 degrees
Positions (direct):
Er 0.3312 0.6038 0.0935
Er 0.5103 0.2377 0.9065
Er 0.4877 0.2603 0.4065
Er 0.8538 0.0812 0.5935
Te 0.7391 0.6341 0.3424
Te 0.2918 0.3967 0.6576
Te 0.6467 0.0418 0.1576
Te 0.8841 0.4891 0.8424
Te 0.1277 0.1277 0.0000
Te 0.3777 0.8777 0.5000

## Properties
For the energy relative to the elements, uncorrected, the calculation gives -1307 meV/atom. The spin magnetization is 0.0 Bohr magnetons per cell. Its space-group type is Fdd2.



No. 7
## Pm4PrErSe8 (GGA-PBE)

Data for crystalline Pm4PrErSe8 at its relaxed geometry.

Cell lengths 8.6105, 8.6105, 8.6249 Å; angles 60.05, 60.05, 60.00 degrees
Positions (direct):
Pm 0.6254 0.6254 0.1239
Pm 0.0014 0.4955 0.5017
Pm 0.4955 0.0014 0.5017
Pm 0.0014 0.0014 0.5017
Pr 0.0016 0.0016 0.9953
Er 0.3746 0.3746 0.8762
Se 0.2490 0.7598 0.7423
Se 0.7598 0.2490 0.7423
Se 0.2490 0.2490 0.7423
Se 0.2458 0.2458 0.2625
Se 0.7556 0.2271 0.2618
Se 0.2271 0.7556 0.2618
Se 0.7556 0.7556 0.2618
Se 0.7584 0.7584 0.7248

## Properties
For the energy relative to the elements, uncorrected, the calculation gives -1726 meV/atom. The spin magnetization is 0.0 Bohr magnetons per cell. Its space-group type is R3m.



No. 8
## NaRe (GGA-PBE)

Data for crystalline NaRe at its relaxed geometry.

Cell lengths 5.5679, 14.1635, 8.0162 Å; angles 90.00, 90.00, 90.00 degrees
Each line ends with the local moment (μB).
Positions (direct):
Na 0.0000 0.0000 0.6515  0.00
Na 0.0000 0.0000 0.3485  0.00
Na 0.2500 0.7500 0.5985  0.00
Na 0.2500 0.7500 0.9015  0.00
Na 0.0000 0.5000 0.1515  0.00
Na 0.0000 0.5000 0.8485  0.00
Na 0.2500 0.2500 0.0985  0.00
Na 0.2500 0.2500 0.4015  0.00
Na 0.5000 0.0000 0.1515  0.00
Na 0.5000 0.0000 0.8485  0.00
Na 0.7500 0.7500 0.0985  0.00
Na 0.7500 0.7500 0.4015  0.00
Na 0.5000 0.5000 0.6515  0.00
Na 0.5000 0.5000 0.3485  0.00
Na 0.7500 0.2500 0.5985  0.00
Na 0.7500 0.2500 0.9015  0.00
Re 0.0000 0.0835 0.0000  0.41
Re 0.0000 0.9165 0.0000  0.41
Re 0.2500 0.6665 0.2500  0.41
Re 0.2500 0.8335 0.2500  0.41
Re 0.0000 0.5835 0.5000  0.41
Re 0.0000 0.4165 0.5000  0.41
Re 0.2500 0.1665 0.7500  0.41
Re 0.2500 0.3335 0.7500  0.41
Re 0.5000 0.0835 0.5000  0.41
Re 0.5000 0.9165 0.5000  0.41
Re 0.7500 0.6665 0.7500  0.41
Re 0.7500 0.8335 0.7500  0.41
Re 0.5000 0.5835 0.0000  0.41
Re 0.5000 0.4165 0.0000  0.41
Re 0.7500 0.1665 0.2500  0.41
Re 0.7500 0.3335 0.2500  0.41

## Properties
The spin magnetization is 8.6 Bohr magnetons per cell. The energy above the most stable polymorph in this dataset is 1.02 eV per formula unit. Its space-group type is Fddd. The formation energy comes out at 1.2132 eV per atom.



No. 9
## NbSnRhS2 (GGA-PBE)

Data for crystalline NbSnRhS2 at its relaxed geometry.

Cell lengths 4.6355, 5.6541, 4.6355 Å; angles 90.00, 90.00, 90.00 degrees
Each line ends with the local moment (μB).
Positions (direct):
S 0.0000 0.0000 0.5000  0.00
S 0.5000 0.0000 0.0000  0.00
Nb 0.0000 0.0000 0.0000  0.08
Rh 0.5000 0.5000 0.5000  0.28
Sn 0.0000 0.5000 0.0000  -0.01

## Properties
For the energy relative to the elements, uncorrected, the calculation gives 450 meV/atom. The spin magnetization is 0.4 Bohr magnetons per cell. Its space-group type is P4/mmm.



No. 10
## PmMgZn2Pd2 (GGA-PBE)

Data for crystalline PmMgZn2Pd2 at its relaxed geometry.

Cell lengths 4.4387, 4.4387, 6.6971 Å; angles 90.00, 90.00, 120.00 degrees
Positions (direct):
Pm 0.0000 0.0000 0.0000
Mg 0.0000 0.0000 0.5000
Zn 0.6667 0.3333 0.7063
Zn 0.3333 0.6667 0.2937
Pd 0.6667 0.3333 0.2967
Pd 0.3333 0.6667 0.7033

## Properties
The spin magnetization is 0.0 Bohr magnetons per cell. Its space-group type is P-3m1. The formation energy comes out at -0.6061 eV per atom.



No. 11
## Rb3FeNi (GGA-PBE)

Data for crystalline Rb3FeNi at its relaxed geometry.

Cell lengths 6.3200, 6.3200, 6.3200 Å; angles 90.00, 90.00, 90.00 degrees
Each line ends with the local moment (μB).
Positions (direct):
Ni 0.0000 0.0000 0.0000  0.19
Fe 0.5000 0.5000 0.5000  3.08
Rb 0.0000 0.5000 0.0000  -0.01
Rb 0.0000 0.0000 0.5000  -0.01
Rb 0.5000 0.0000 0.0000  -0.01

## Properties
The spin magnetization is 3.1 Bohr magnetons per cell. Its space-group type is Pm-3m. The formation energy comes out at 1.1554 eV per atom.



No. 12
## Y3HoRu (GGA-PBE)

Data for crystalline Y3HoRu at its relaxed geometry.

Cell lengths 5.3968, 5.3968, 5.3968 Å; angles 90.00, 90.00, 90.00 degrees
Positions (direct):
Y 0.0000 0.5000 0.0000
Y 0.0000 0.0000 0.5000
Y 0.5000 0.0000 0.0000
Ru 0.0000 0.0000 0.0000
Ho 0.5000 0.5000 0.5000

## Properties
The spin magnetization is 0.0 Bohr magnetons per cell. The energy above the most stable polymorph in this dataset is 0.87 eV per formula unit. Its space-group type is Pm-3m. The formation energy comes out at -0.0399 eV per atom.



Which value of spin magnetization does entry 8 give? 8.6 Bohr magnetons per cell